Pm2Nd2Pt3 | GGA-PBE | relaxed

Properties
DOS at the Fermi energy in states/eV per atom: 0.715
Space group: C2/m, No. 12
Total DFT energy (no corrections) in eV for the cell shown: -43.709
Density in g/cm³: 9.2

a b c (Å): 4.251 7.137 7.344
angles (deg): 99.96 89.97 107.35
Element x y z (fractional)
Pt 0.758 0.517 0.256
Pt 0.242 0.483 0.744
Pt 0.000 0.000 0.000
Pm 0.629 0.257 0.897
Pm 0.371 0.743 0.103
Nd 0.135 0.271 0.360
Nd 0.865 0.729 0.640